1.
Crystalline BaCdGa2Fe at its relaxed geometry, computed with PBE-GGA. Values from VASP.

Calculated values
DOS(E_F)   1.7 states/eV/cell
Total magnetic moment   0.000 μB/cell
Total DFT energy (no corrections)   -3.69 eV per atom

Cell and atoms, written as Quantum ESPRESSO input:
```
&SYSTEM
  ibrav = 0, nat = 5, ntyp = 4
/
ATOMIC_SPECIES
Ga 69.72 Ga.upf
Cd 112.41 Cd.upf
Fe 55.84 Fe.upf
Ba 137.33 Ba.upf
CELL_PARAMETERS angstrom
4.742 0.000 0.000
0.000 4.742 0.000
0.000 0.000 5.135
ATOMIC_POSITIONS crystal
Ga 0.500 0.000 0.000
Ga 0.000 0.500 0.000
Cd 0.000 0.000 0.500
Fe 0.000 0.000 0.000
Ba 0.500 0.500 0.500
```

=====

2.
Crystalline Ba2MgCdFe at its relaxed geometry, computed with PBE-GGA. Values from VASP.

Calculated values
DOS(E_F)   5.2 states/eV/cell
Total magnetic moment   2.437 μB/cell
Total DFT energy (no corrections)   -2.37 eV per atom

Cell and atoms, written as Quantum ESPRESSO input:
```
&SYSTEM
  ibrav = 0, nat = 5, ntyp = 4
/
ATOMIC_SPECIES
Ba 137.33 Ba.upf
Cd 112.41 Cd.upf
Fe 55.84 Fe.upf
Mg 24.30 Mg.upf
CELL_PARAMETERS angstrom
6.487 0.000 0.000
0.000 4.873 0.000
0.000 0.000 6.487
ATOMIC_POSITIONS crystal
Ba 0.500 0.000 0.000
Ba 0.000 0.000 0.500
Cd 0.500 0.500 0.500
Fe 0.000 0.500 0.000
Mg 0.000 0.000 0.000
```